#a
## AlCd2Ag4 (GGA-PBE)

Data for a relaxed AlCd2Ag4 crystal.

total moment = 0.00 μB per cell

a b c (Å): 5.1778 3.0586 16.4626
angles (deg): 90.00 96.19 90.00
Last column: nearest neighbours and their distance in Å.
Space group Cm (No. 8)
One atom of each set of equivalent atoms:
Al  0.0000  0.0000  0.0000 (multiplicity 2)  6 Ag 2.73-2.76, 6 Al 3.01-3.06
Cd  0.0911  0.0000  0.2807 (multiplicity 2)  6 Ag 2.98-3.03, 6 Cd 3.01-3.06
Cd  0.1869  0.0000  0.5781 (multiplicity 2)  6 Ag 2.99-3.01, 6 Cd 3.01-3.06
Ag  0.2919  0.0000  0.8712 (multiplicity 2)  3 Al 2.73-2.74, 9 Ag 2.93-3.06
Ag  0.2956  0.5000  0.4292 (multiplicity 2)  6 Cd 2.98-3.02, 6 Ag 3.01-3.06
Ag  0.3796  0.0000  0.1301 (multiplicity 2)  3 Al 2.75-2.76, 6 Ag 3.01-3.06, 3 Cd 3.02-3.03
Ag  0.4002  0.5000  0.7270 (multiplicity 2)  9 Ag 2.93-3.06, 3 Cd 3.00

#b
## AlCd2Ag4 (GGA-PBE)

Data for a relaxed AlCd2Ag4 crystal.

total moment = 0.00 μB per cell

a b c (Å): 4.9759 4.9759 13.8255
angles (deg): 90.00 90.00 90.00
Last column: nearest neighbours and their distance in Å.
Space group I4/mmm (No. 139)
One atom of each set of equivalent atoms:
Al  0.0000  0.0000  0.0000 (multiplicity 2)  4 Ag 2.49, 2 Cd 2.76
Cd  0.0000  0.0000  0.1997 (multiplicity 4)  1 Ag 2.72, 1 Al 2.76
Ag  0.0000  0.0000  0.3966 (multiplicity 4)  1 Cd 2.72, 5 Ag 2.86-2.87
Ag  0.0000  0.5000  0.0000 (multiplicity 4)  2 Al 2.49

Computed relative energies in units of meV/atom: #a 0; #b 317

#a
## Al2Cd3Ag8 (GGA-PBE)

Data for a relaxed Al2Cd3Ag8 crystal.

total moment = 0.00 μB per cell

a b c (Å): 5.5017 5.5017 29.8765
angles (deg): 90.00 90.00 120.00
Last column: nearest neighbours and their distance in Å.
Space group R-3m (No. 166, hexagonal axes)
One atom of each set of equivalent atoms:
Al  0.0000  0.0000  0.1385 (multiplicity 6)  4 Ag 2.51-2.67
Cd  0.0000  0.0000  0.3172 (multiplicity 6)  10 Ag 2.83-3.14
Cd  0.0000  0.0000  0.5000 (multiplicity 3)  6 Al 3.29, 12 Ag 3.37-3.59
Ag  0.0000  0.0000  0.2225 (multiplicity 6)  1 Al 2.51
Ag  0.0017  0.5008  0.2664 (multiplicity 18)  1 Al 2.67, 4 Ag 2.74-2.76, 1 Cd 2.94

#b
## Al2Cd3Ag8 (GGA-PBE)

Data for a relaxed Al2Cd3Ag8 crystal.

total moment = 0.00 μB per cell

a b c (Å): 7.3745 4.6288 8.2925
angles (deg): 90.00 116.37 90.00
Last column: nearest neighbours and their distance in Å.
Space group P2/m (No. 10)
One atom of each set of equivalent atoms:
Al  0.2254  0.0000  0.4490 (multiplicity 2)  8 Ag 2.69-2.73
Cd  0.0000  0.0000  0.0000 (multiplicity 1)  8 Ag 2.85-3.01
Cd  0.3031  0.5000  0.9995 (multiplicity 2)  3 Cd 2.90-3.22, 8 Ag 2.93-3.03
Ag  0.1303  0.5000  0.2600 (multiplicity 2)  2 Al 2.71, 1 Ag 2.84, 4 Cd 2.96-3.01
Ag  0.1779  0.0000  0.7570 (multiplicity 2)  2 Al 2.69-2.73, 3 Cd 2.85-2.93, 3 Ag 2.88-2.95
Ag  0.3213  0.5000  0.6419 (multiplicity 2)  2 Al 2.72, 5 Ag 2.84-2.88, 2 Cd 3.03
Ag  0.4210  0.0000  0.2416 (multiplicity 2)  2 Al 2.69-2.73, 3 Cd 2.85-2.93, 3 Ag 2.88-2.95

Computed relative energies in units of meV/atom: #a 51; #b 0

#a
## CeAlAg3 (GGA-PBE)

Data for a relaxed CeAlAg3 crystal.

total moment = 2.01 μB per cell

a b c (Å): 5.9612 5.8072 6.0390
angles (deg): 90.00 92.95 90.00
Last column: nearest neighbours and their distance in Å.
Space group P2_1/m (No. 11)
One atom of each set of equivalent atoms:
Ce  0.1563  0.2500  0.1664 (multiplicity 2)  12 Ag 3.18-3.54, 4 Al 3.18-3.34
Al  0.3690  0.7500  0.0524 (multiplicity 2)  5 Ag 2.62-2.71
Ag  0.0735  0.7500  0.3590 (multiplicity 2)  1 Al 2.62, 4 Ag 2.86-2.87
Ag  0.3432  0.0035  0.6798 (multiplicity 4)  2 Al 2.69-2.71, 5 Ag 2.86-2.94

#b
## CeAlAg3 (GGA-PBE)

Data for a relaxed CeAlAg3 crystal.

total moment = 1.62 μB per cell

a b c (Å): 8.1083 6.5669 4.9680
angles (deg): 90.00 127.60 90.00
Last column: nearest neighbours and their distance in Å.
Space group Cm (No. 8)
One atom of each set of equivalent atoms:
Ce  0.0000  0.0000  0.0000 (multiplicity 2)  10 Ag 3.15-3.51, 4 Al 3.16-3.52
Al  0.3031  0.0000  0.8018 (multiplicity 2)  3 Ag 2.49-2.71
Ag  0.0082  0.2951  0.5084 (multiplicity 4)  2 Ag 2.69-2.81, 1 Al 2.71
Ag  0.1915  0.5000  0.1922 (multiplicity 2)  1 Al 2.49

Computed relative energies in units of meV/atom: #a 0; #b 6